{
  "formula": "KCrIr4",
  "functional": "meta-GGA SCAN",
  "state": "single point on PBEsol structure",
  "e_tot_ev_per_cell": -308.32,
  "lattice": [[5.228, 0.000, 0.000], [2.614, 4.527, 0.000], [2.614, 1.509, 4.268]],
  "species": ["Ir", "Ir", "Cr", "Ir", "Ir", "K"],
  "frac_coords": [[0.375, 0.375, 0.876], [0.375, 0.876, 0.375], [0.000, 0.000, 0.000], [0.375, 0.375, 0.375], [0.876, 0.375, 0.375], [0.750, 0.750, 0.750]]
}

---

{
  "formula": "Ba2Mg",
  "functional": "meta-GGA SCAN",
  "state": "single point on PBEsol structure",
  "e_tot_ev_per_cell": -168.10,
  "lattice": [[-0.305, -0.024, -4.209], [-5.130, -4.884, 2.516], [-3.754, 8.667, 0.222]],
  "species": ["Mg", "Ba", "Ba", "Ba", "Ba", "Mg"],
  "frac_coords": [[0.321, 0.641, 0.460], [0.675, 0.349, 0.137], [0.028, 0.056, 0.712], [0.325, 0.651, 0.863], [0.972, 0.944, 0.288], [0.679, 0.359, 0.540]]
}

---

{
  "formula": "CsTl2Hg2",
  "functional": "meta-GGA SCAN",
  "state": "single point on PBEsol structure",
  "de_polymorph_ev_per_atom": 0.000,
  "lattice": [[-5.111, 1.998, -0.882], [0.420, -1.304, -5.387], [0.237, -5.286, 4.165]],
  "species": ["Hg", "Tl", "Tl", "Hg", "Cs"],
  "frac_coords": [[0.750, 0.250, 0.500], [0.361, 0.361, 0.722], [0.639, 0.639, 0.278], [0.250, 0.750, 0.500], [0.000, 0.000, 0.000]]
}

---

{
  "formula": "MnAgSb2",
  "functional": "meta-GGA SCAN",
  "state": "single point on PBEsol structure",
  "raw_formation_energy_ev_per_atom": 0.076,
  "lattice": [[3.069, 0.000, 0.000], [0.000, 4.173, 0.000], [-1.535, -2.086, 6.434]],
  "species": ["Ag", "Sb", "Mn", "Sb"],
  "frac_coords": [[0.436, 0.436, 0.872], [0.054, 0.054, 0.108], [0.731, 0.231, 0.462], [0.279, 0.779, 0.557]]
}

---

{
  "formula": "CsNa2Tl2",
  "functional": "meta-GGA SCAN",
  "state": "single point on PBEsol structure",
  "de_polymorph_ev_per_atom": 0.002,
  "lattice": [[-0.547, -2.838, 2.170], [8.432, 1.735, 4.396], [-4.493, 5.728, 6.358]],
  "species": ["Na", "Tl", "Na", "Tl", "Na", "Cs", "Cs", "Na", "Tl", "Tl"],
  "frac_coords": [[0.500, 0.673, 0.827], [0.000, 0.614, 0.114], [0.500, 0.327, 0.173], [0.000, 0.386, 0.886], [0.500, 0.173, 0.673], [0.000, 0.000, 0.000], [0.000, 0.500, 0.500], [0.500, 0.827, 0.327], [0.000, 0.114, 0.386], [0.000, 0.886, 0.614]]
}

---

{
  "formula": "La2BeCr",
  "functional": "meta-GGA SCAN",
  "state": "single point on PBEsol structure",
  "e_tot_ev_per_cell": -107.67,
  "lattice": [[3.276, 0.000, 0.000], [0.000, 3.276, 0.000], [0.000, 0.000, 7.979]],
  "species": ["Be", "Cr", "La", "La"],
  "frac_coords": [[0.000, 0.000, 0.579], [0.500, 0.500, 0.650], [0.000, 0.000, 0.924], [0.500, 0.500, 0.347]]
}